DFT (GGA-PBE) results for an optimized crystal structure of TaBe3Pt.

V: 70.0 Å³ per cell
Polymorph energy (0 for the lowest one): 0.0 meV per atom
E_form: 415.1 meV per atom

a b c (Å): 4.122 4.122 4.122
angles (deg): 90.00 90.00 90.00
Space group Pm-3m (No. 221)
Asymmetric unit:
Ta (0.000, 0.000, 0.000) [1 per cell]
Be (0.000, 0.500, 0.500) [3 per cell]
Pt (0.500, 0.500, 0.500) [1 per cell]


DFT (GGA-PBE) results for an optimized crystal structure of TaBe2Pt.

V: 198.7 Å³ per cell
Polymorph energy (0 for the lowest one): 180.9 meV per atom
E_form: -220.6 meV per atom

a b c (Å): 5.835 5.835 5.835
angles (deg): 90.00 90.00 90.00
Space group Fm-3m (No. 225)
Asymmetric unit:
Ta (0.000, 0.000, 0.000) [4 per cell]
Be (0.250, 0.250, 0.250) [8 per cell]
Pt (0.000, 0.000, 0.500) [4 per cell]


DFT (GGA-PBE) results for an optimized crystal structure of TaBe2Pt.

V: 110.8 Å³ per cell
Polymorph energy (0 for the lowest one): 348.4 meV per atom
E_form: -53.1 meV per atom

a b c (Å): 2.702 4.869 8.419
angles (deg): 90.00 90.00 90.00
Space group Immm (No. 71)
Asymmetric unit:
Ta (0.000, 0.000, 0.000) [2 per cell]
Be (0.000, 0.500, 0.231) [4 per cell]
Pt (0.000, 0.000, 0.500) [2 per cell]


DFT (GGA-PBE) results for an optimized crystal structure of Ta2Be2Pt.

V: 133.7 Å³ per cell
E_form: -536.5 meV per atom

a b c (Å): 6.018 6.018 3.691
angles (deg): 90.00 90.00 90.00
Space group P4/mbm (No. 127)
Asymmetric unit:
Ta (0.171, 0.329, 0.000) [4 per cell]
Be (0.127, 0.627, 0.500) [4 per cell]
Pt (0.000, 0.000, 0.500) [2 per cell]